<a>
This record from Alexandria via LeMat-Bulk describes a relaxed RbRuW2 crystal. The functional is PBE.

Cell: 5.1587 5.1587 9.2987 Å, 73.90 73.90 90.00°
Fractional coordinates of all 8 atoms:
W (0.8781, 0.6250, 0.2500)
W (0.8719, 0.1250, 0.2500)
W (0.3750, 0.1281, 0.7500)
W (0.8750, 0.1219, 0.7500)
Rb (0.5000, 0.5000, 0.0000)
Rb (0.2500, 0.7500, 0.5000)
Ru (0.0000, 0.0000, 0.0000)
Ru (0.7500, 0.2500, 0.5000)

Calculated values
volume: 227.6 Å³ per cell

***

<b>
This record from Alexandria via LeMat-Bulk describes a relaxed RbRuW2 crystal. The functional is PBE.

Cell: 4.6244 4.6244 4.6244 Å, 60.00 60.00 60.00°
Fractional coordinates of all 4 atoms:
Rb (0.0000, 0.0000, 0.0000)
W (0.7500, 0.7500, 0.7500)
W (0.2500, 0.2500, 0.2500)
Ru (0.5000, 0.5000, 0.5000)

Calculated values
volume: 69.9 Å³ per cell

***

Most stable: <b> (next structure +1.2 kJ/mol of atoms)